Al2FeRe at its PBEsol-relaxed geometry, computed with meta-GGA SCAN.

Summary:
The density of states at the Fermi level comes out at 2.314 states/eV/cell. Its calculated volume is 52 Å³/cell. As for the energy relative to the lowest polymorph listed for this composition: 0.00 eV/f.u. Its symmetry is No. 44. The value obtained for the magnetization is 0.69 μB/f.u. The density comes out at 9.41 g/cm3. The value obtained for the formation energy is -0.23 eV/atom. As for the total energy: -105.6 eV for the cell shown.

abc: 2.8661 4.1618 5.0564
angles: 114.30 106.46 90.00
Last column: nearest neighbours and their distance in Å.
Element x y z (fractional)
Al: 0.7727 0.2727 0.5455  2 Fe 2.46, 4 Re 2.55
Al: 0.9934 0.9934 0.9868  4 Fe 2.53, 2 Re 2.70
Re: 0.2326 0.7326 0.4653  2 Fe 2.48, 6 Al 2.55-2.70
Fe: 0.5012 0.5012 0.0025  6 Al 2.46-2.53, 2 Re 2.48


Li2La2Al at its PBEsol-relaxed geometry, computed with meta-GGA SCAN.

Summary:
The density of states at the Fermi level comes out at 4.346 states/eV/cell. Its calculated volume is 130 Å³/cell. Its symmetry is No. 139. The value obtained for the magnetization is 0.44 μB/f.u. The density comes out at 4.06 g/cm3. The value obtained for the formation energy is -0.06 eV/atom. As for the total energy: -99.0 eV for the cell shown.

abc: 3.5950 3.5950 10.4079
angles: 99.95 99.95 90.00
Last column: nearest neighbours and their distance in Å.
Element x y z (fractional)
La: 0.4029 0.4029 0.8058  4 Al 3.21, 4 Li 3.57
Al: 0.0000 0.0000 0.0000  8 La 3.21
Li: 0.7500 0.2500 0.5000  4 Li 2.54
Li: 0.2500 0.7500 0.5000  4 Li 2.54
La: 0.5971 0.5971 0.1942  4 Al 3.21, 4 Li 3.57


CoAgRu2 at its PBEsol-relaxed geometry, computed with meta-GGA SCAN.

Summary:
The density of states at the Fermi level comes out at 4.398 states/eV/cell. Its calculated volume is 54 Å³/cell. Its symmetry is No. 123. The value obtained for the magnetization is 4.61 μB/f.u. The density comes out at 11.34 g/cm3. The value obtained for the formation energy is 0.68 eV/atom. As for the total energy: -115.6 eV for the cell shown.

abc: 2.7470 4.4355 4.4355
angles: 90.00 90.00 90.00
Last column: nearest neighbours and their distance in Å.
Element x y z (fractional)
Ag: 0.5000 0.5000 0.5000  8 Ru 2.61, 2 Ag 2.75
Co: 0.5000 0.0000 0.0000  8 Ru 2.61, 2 Co 2.75
Ru: 0.0000 0.5000 0.0000  4 Ag 2.61, 4 Co 2.61, 2 Ru 2.75
Ru: 0.0000 0.0000 0.5000  4 Ag 2.61, 4 Co 2.61, 2 Ru 2.75


Zn2CrAg at its PBEsol-relaxed geometry, computed with meta-GGA SCAN.

Summary:
The density of states at the Fermi level comes out at 1.542 states/eV/cell. Its calculated volume is 58 Å³/cell. Its symmetry is No. 216. The value obtained for the magnetization is 3.79 μB/f.u. The density comes out at 8.29 g/cm3. The value obtained for the formation energy is 0.08 eV/atom. As for the total energy: -76.5 eV for the cell shown.

abc: 4.3509 4.3509 4.3509
angles: 60.00 60.00 60.00
Last column: nearest neighbours and their distance in Å.
Element x y z (fractional)
Zn: 0.0000 0.0000 0.0000  4 Cr 2.66, 4 Zn 2.66
Zn: 0.2500 0.2500 0.2500  4 Zn 2.66, 4 Ag 2.66
Ag: 0.5000 0.5000 0.5000  4 Zn 2.66, 4 Cr 2.66
Cr: 0.7500 0.7500 0.7500  4 Ag 2.66, 4 Zn 2.66


Zn2CdRe at its PBEsol-relaxed geometry, computed with meta-GGA SCAN.

Summary:
The density of states at the Fermi level comes out at 1.939 states/eV/cell. Its calculated volume is 62 Å³/cell. Its symmetry is No. 35. The value obtained for the magnetization is 0.00 μB/f.u. The density comes out at 11.54 g/cm3. The value obtained for the formation energy is 0.34 eV/atom. As for the total energy: -127.2 eV for the cell shown.

abc: 2.7291 2.7291 8.9836
angles: 90.00 90.00 112.49
Last column: nearest neighbours and their distance in Å.
Element x y z (fractional)
Re: 0.5000 0.5000 0.2323  2 Zn 2.59, 4 Re 2.73, 2 Cd 2.86
Cd: 0.0000 0.0000 0.5023  6 Cd 2.73-3.03, 2 Zn 2.82, 2 Re 2.86
Zn: 0.0000 0.0000 0.9981  6 Zn 2.57-2.73, 2 Re 2.59
Zn: 0.5000 0.5000 0.7672  6 Zn 2.57-2.73, 2 Cd 2.82


RbMnIn2S at its PBEsol-relaxed geometry, computed with meta-GGA SCAN.

Summary:
The density of states at the Fermi level comes out at 2.610 states/eV/cell. Its calculated volume is 155 Å³/cell. Its symmetry is No. 123. The energy relative to the elements, uncorrected is 15 meV/atom. The value obtained for the magnetization is 4.05 μB/f.u. The density comes out at 4.29 g/cm3. As for the total energy: -115.3 eV for the cell shown.

abc: 4.3817 5.9569 5.9569
angles: 90.00 90.00 90.00
Last column: nearest neighbours and their distance in Å.
Element x y z (fractional)
Mn: 0.5000 0.0000 0.0000  2 S 2.19
S: 0.0000 0.0000 0.0000  2 Mn 2.19
Rb: 0.5000 0.5000 0.5000  8 In 3.70
In: 0.0000 0.0000 0.5000  2 S 2.98
In: 0.0000 0.5000 0.0000  2 S 2.98


CeFeAsO at its PBEsol-relaxed geometry, computed with meta-GGA SCAN.

Summary:
The density of states at the Fermi level comes out at 3.858 states/eV/cell. Its calculated volume is 121 Å³/cell. Its symmetry is No. 129. The energy relative to the elements, uncorrected is -1903 meV/atom. The value obtained for the magnetization is 0.65 μB/f.u. The density comes out at 7.88 g/cm3. As for the total energy: -193.5 eV for the cell shown.

abc: 3.9097 3.9097 7.9057
angles: 90.00 90.00 90.00
Last column: nearest neighbours and their distance in Å.
Element x y z (fractional)
O: 0.0000 0.0000 0.0000  4 Ce 2.31
O: 0.5000 0.5000 0.0000  4 Ce 2.31
Ce: 0.0000 0.5000 0.8444  4 O 2.31
Fe: 0.5000 0.5000 0.5000  4 As 2.29
As: 0.0000 0.5000 0.3491  4 Fe 2.29
As: 0.5000 0.0000 0.6509  4 Fe 2.29
Ce: 0.5000 0.0000 0.1556  4 O 2.31
Fe: 0.0000 0.0000 0.5000  4 As 2.29


LiReAg2 at its PBEsol-relaxed geometry, computed with meta-GGA SCAN.

Summary:
The density of states at the Fermi level comes out at 1.740 states/eV/cell. Its calculated volume is 61 Å³/cell. As for the energy relative to the lowest polymorph listed for this composition: 0.16 eV/f.u. Its symmetry is No. 25. The value obtained for the magnetization is 0.61 μB/f.u. The density comes out at 11.10 g/cm3. The value obtained for the formation energy is 0.38 eV/atom. As for the total energy: -134.7 eV for the cell shown.

abc: 2.6196 4.7018 4.9651
angles: 90.00 90.01 90.00
Last column: nearest neighbours and their distance in Å.
Element x y z (fractional)
Ag: 0.8748 0.5000 0.3052  2 Ag 2.62, 4 Li 2.79, 4 Re 2.80-2.81
Ag: 0.8752 0.0000 0.9400  2 Ag 2.62, 4 Li 2.76-2.85, 4 Re 2.77
Li: 0.3750 0.0000 0.4507  2 Li 2.62, 8 Ag 2.76-2.85, 2 Re 2.93
Re: 0.3750 0.5000 0.8041  2 Re 2.62, 8 Ag 2.77-2.81, 2 Li 2.93


LaPrHg2 at its PBEsol-relaxed geometry, computed with meta-GGA SCAN.

Summary:
The density of states at the Fermi level comes out at 4.375 states/eV/cell. Its calculated volume is 111 Å³/cell. Its symmetry is No. 225. The value obtained for the magnetization is 0.62 μB/f.u. The density comes out at 10.22 g/cm3. The value obtained for the formation energy is -0.69 eV/atom. As for the total energy: -225.5 eV for the cell shown.

abc: 5.3886 5.3886 5.3886
angles: 60.00 60.00 60.00
Last column: nearest neighbours and their distance in Å.
Element x y z (fractional)
Hg: 0.7500 0.7500 0.7500  4 La 3.30, 4 Pr 3.30
La: 0.5000 0.5000 0.5000  8 Hg 3.30
Pr: 0.0000 0.0000 0.0000  8 Hg 3.30
Hg: 0.2500 0.2500 0.2500  4 Pr 3.30, 4 La 3.30


Sc5Zn at its PBEsol-relaxed geometry, computed with meta-GGA SCAN.

Summary:
The density of states at the Fermi level comes out at 7.558 states/eV/cell. Its calculated volume is 147 Å³/cell. As for the energy relative to the lowest polymorph listed for this composition: 4.13 eV/f.u. Its symmetry is No. 191. The value obtained for the magnetization is 0.00 μB/f.u. The density comes out at 3.28 g/cm3. The value obtained for the formation energy is 0.58 eV/atom. As for the total energy: -81.2 eV for the cell shown.

abc: 5.1893 5.7192 5.7192
angles: 120.00 90.00 90.00
Last column: nearest neighbours and their distance in Å.
Element x y z (fractional)
Sc: 0.5000 0.5000 0.5000  8 Sc 2.86-3.08
Sc: 0.5000 0.5000 0.0000  8 Sc 2.86-3.08
Sc: 0.0000 0.3333 0.6667  9 Sc 3.08-3.30, 3 Zn 3.30
Sc: 0.0000 0.6667 0.3333  9 Sc 3.08-3.30, 3 Zn 3.30
Sc: 0.5000 0.0000 0.5000  8 Sc 2.86-3.08
Zn: 0.0000 0.0000 0.0000  6 Sc 3.30


ZnPH5C2N4O3 at its PBEsol-relaxed geometry, computed with meta-GGA SCAN.

Summary:
The density of states at the Fermi level comes out at 0.000 states/eV/cell. Its calculated volume is 728 Å³/cell. As for the energy relative to the lowest polymorph listed for this composition: 0.05 eV/f.u. Its symmetry is No. 15. The value obtained for the magnetization is 0.00 μB/f.u. The density comes out at 2.09 g/cm3. As for the total energy: -517.9 eV for the cell shown.

abc: 8.9898 8.9898 10.2212
angles: 72.11 72.11 72.23
Last column: nearest neighbours and their distance in Å.
Element x y z (fractional)
H: 0.9024 0.3104 0.8865  1 N 1.03
O: 0.3508 0.3874 0.3651  1 P 1.53
H: 0.4415 0.7874 0.5624  1 N 1.02
O: 0.2995 0.5602 0.1230  1 P 1.55
H: 0.3287 0.2019 0.7372  1 P 1.42
O: 0.6126 0.6492 0.1349  1 P 1.53
N: 0.9257 0.2983 0.5745  1 C 1.18
O: 0.6492 0.6126 0.6349  1 P 1.53
O: 0.5602 0.2995 0.6230  1 P 1.55
H: 0.1542 0.0797 0.3909  1 N 1.02
H: 0.8558 0.3850 0.2156  1 N 1.03
O: 0.5138 0.7245 0.8495  1 P 1.54
C: 0.9612 0.8027 0.3977  2 N 1.18-1.28
N: 0.0743 0.7017 0.4255  1 C 1.18
H: 0.9203 0.8458 0.1091  1 N 1.02
O: 0.3874 0.3508 0.8651  1 P 1.53
O: 0.7245 0.5138 0.3495  1 P 1.54
H: 0.0797 0.1542 0.8909  1 N 1.02
C: 0.8027 0.9612 0.8977  2 N 1.18-1.28
H: 0.1442 0.6150 0.7844  1 N 1.03
N: 0.9084 0.8421 0.8569  2 C 1.28-1.35
N: 0.0916 0.1579 0.1431  2 C 1.28-1.35
N: 0.8421 0.9084 0.3569  2 C 1.28-1.35
P: 0.6632 0.6106 0.7812  1 H 1.42, 3 O 1.53-1.55
O: 0.7005 0.4398 0.8770  1 P 1.55
N: 0.8722 0.3685 0.1166  2 H 1.02-1.03
N: 0.6315 0.1278 0.3834  2 H 1.02-1.03
N: 0.7017 0.0743 0.9255  1 C 1.18
H: 0.2019 0.3287 0.2372  1 P 1.42
N: 0.1278 0.6315 0.8834  2 H 1.02-1.03
N: 0.7619 0.0078 0.5632  2 H 1.02-1.03
N: 0.9922 0.2381 0.9368  2 H 1.02-1.03
N: 0.0078 0.7619 0.0632  2 H 1.02-1.03
O: 0.4398 0.7005 0.3770  1 P 1.55
N: 0.3685 0.8722 0.6166  2 H 1.02-1.03
H: 0.6150 0.1442 0.2844  1 N 1.03
N: 0.2983 0.9257 0.0745  1 C 1.18
P: 0.3894 0.3368 0.7188  1 H 1.42, 3 O 1.53-1.55
C: 0.1973 0.0388 0.1023  2 N 1.18-1.28
H: 0.6896 0.0976 0.6135  1 N 1.03
H: 0.7874 0.4415 0.0624  1 N 1.02
C: 0.7461 0.0138 0.4356  3 N 1.33-1.35
H: 0.8458 0.9203 0.6091  1 N 1.02
C: 0.2539 0.9862 0.5644  3 N 1.33-1.35
N: 0.2381 0.9922 0.4368  2 H 1.02-1.03
P: 0.3368 0.3894 0.2188  1 H 1.42, 3 O 1.53-1.55
H: 0.5585 0.2126 0.4376  1 N 1.02
H: 0.3104 0.9024 0.3865  1 N 1.03
Zn: 0.7207 0.4326 0.5485  1 N 1.92, 3 O 1.93-1.98
H: 0.0976 0.6896 0.1135  1 N 1.03
C: 0.0138 0.7461 0.9356  3 N 1.33-1.35
C: 0.9862 0.2539 0.0644  3 N 1.33-1.35
C: 0.0388 0.1973 0.6023  2 N 1.18-1.28
H: 0.7981 0.6713 0.7628  1 P 1.42
Zn: 0.5674 0.2793 0.9515  1 N 1.92, 3 O 1.93-1.98
H: 0.6713 0.7981 0.2628  1 P 1.42
H: 0.2126 0.5585 0.9376  1 N 1.02
Zn: 0.2793 0.5674 0.4515  1 N 1.92, 3 O 1.93-1.98
P: 0.6106 0.6632 0.2812  1 H 1.42, 3 O 1.53-1.55
H: 0.3850 0.8558 0.7156  1 N 1.03
O: 0.2755 0.4862 0.6505  1 P 1.54
Zn: 0.4326 0.7207 0.0485  1 N 1.92, 3 O 1.93-1.98
N: 0.1579 0.0916 0.6431  2 C 1.28-1.35
O: 0.4862 0.2755 0.1505  1 P 1.54


AlCrRh2Br at its PBEsol-relaxed geometry, computed with meta-GGA SCAN.

Summary:
The density of states at the Fermi level comes out at 4.450 states/eV/cell. Its calculated volume is 98 Å³/cell. Its symmetry is No. 123. The energy relative to the elements, uncorrected is 1098 meV/atom. The value obtained for the magnetization is 4.46 μB/f.u. The density comes out at 6.16 g/cm3. As for the total energy: -107.6 eV for the cell shown.

abc: 4.5261 4.5261 4.7996
angles: 90.00 90.00 90.00
Last column: nearest neighbours and their distance in Å.
Element x y z (fractional)
Rh: 0.5000 0.0000 0.0000  2 Br 2.26
Al: 0.0000 0.0000 0.5000  2 Br 2.40
Rh: 0.0000 0.5000 0.0000  2 Br 2.26
Br: 0.0000 0.0000 0.0000  4 Rh 2.26, 2 Al 2.40
Cr: 0.5000 0.5000 0.5000  4 Al 3.20, 8 Rh 3.30